DFT (PBE) results for a relaxed structure of Tc2Sb.

```
Tc2Sb
1.0
-2.0678 2.0678 11.8679
2.0678 -2.0678 11.8679
2.0678 2.0678 -11.8679
Tc Sb
8 4
direct
0.1199 0.3699 0.7500
0.2832 0.5332 0.7500
0.3699 0.1199 0.2500
0.4668 0.7168 0.7500
0.5332 0.2832 0.2500
0.6301 0.8801 0.7500
0.7168 0.4668 0.2500
0.8801 0.6301 0.2500
0.0511 0.8011 0.2500
0.1989 0.9489 0.2500
0.8011 0.0511 0.7500
0.9489 0.1989 0.7500
```

## Properties
For the relative energy among the computed polymorphs, the calculation gives 0.272 eV per atom. As for the size of the total moment: 0.00 μB per formula unit. The calculation puts the energy at -7.907 eV per atom. Its density of states at the Fermi level is 4.05 states/eV/f.u.